Computed, not measured: crystalline BaPIrO2 at its relaxed geometry at the PBE level of DFT.

Output
Its offset from the most stable computed form is 0.000 eV/f.u. Its uncorrected formation energy is -3.39 eV/f.u.

abc: 4.393 4.393 4.421
angles: 90.00 90.00 90.00
Space group P4/mmm (No. 123)
Symmetry-distinct sites (fractional):
1 Ba 0.000 0.000 0.000
2 P 0.500 0.500 0.000
3 Ir 0.500 0.500 0.500
4 O 0.000 0.500 0.500



Computed, not measured: crystalline Te2IrI at its relaxed geometry at the PBE level of DFT.

Output
Its offset from the most stable computed form is 0.067 eV/f.u. Its uncorrected formation energy is -0.66 eV/f.u.

abc: 4.1401 4.1401 8.4998
angles: 90.00 90.00 120.00
Space group P3m1 (No. 156)
Symmetry-distinct sites (fractional):
1 Te 0.0000 0.0000 0.0000
2 Te 0.3333 0.6667 0.2915
3 Ir 0.6667 0.3333 0.1274
4 I 0.0000 0.0000 0.6704



Computed, not measured: crystalline KPr2RhO5 at its relaxed geometry at the PBE level of DFT.

Output
Its uncorrected formation energy is -20.03 eV/f.u.

abc: 6.922 6.922 5.881
angles: 90.00 90.00 90.00
Space group P4/mbm (No. 127)
Symmetry-distinct sites (fractional):
1 K 0.000 0.000 0.000
2 Pr 0.178 0.322 0.500
3 Rh 0.000 0.500 0.000
4 O 0.000 0.000 0.500
5 O 0.133 0.633 0.251



Computed, not measured: crystalline Pm12Ge3N5 at its relaxed geometry at the PBE level of DFT.

Output
Its uncorrected formation energy is -18.26 eV/f.u.

abc: 15.768 15.768 15.768
angles: 90.00 90.00 90.00
Space group Ia-3d (No. 230)
Symmetry-distinct sites (fractional):
1 Pm 0.033 0.054 0.649
2 Ge 0.000 0.250 0.125
3 N 0.000 0.000 0.000
4 N 0.000 0.250 0.375



Computed, not measured: crystalline CaZnGa2Ni2 at its relaxed geometry at the PBE level of DFT.

Output
As for the formation energy: -170 meV/atom.

abc: 4.432 4.432 5.518
angles: 90.00 90.00 90.00
Space group P4/mmm (No. 123)
Symmetry-distinct sites (fractional):
1 Ca 0.000 0.000 0.000
2 Zn 0.000 0.000 0.500
3 Ga 0.500 0.500 0.252
4 Ni 0.000 0.500 0.500



Computed, not measured: crystalline PrBi2Pb at its relaxed geometry at the PBE level of DFT.

Output
Its offset from the most stable computed form is 0.606 eV/f.u. As for the formation energy: -304 meV/atom.

abc: 4.8840 4.8840 21.4099
angles: 90.00 90.00 120.00
Space group R3m (No. 160, hexagonal axes)
Symmetry-distinct sites (fractional):
1 Pr 0.0000 0.0000 0.0000
2 Bi 0.0000 0.0000 0.4133
3 Bi 0.0000 0.0000 0.5864
4 Pb 0.0000 0.0000 0.8266



Computed, not measured: crystalline ZnTeSe2 at its relaxed geometry at the PBE level of DFT.

Output
Its offset from the most stable computed form is 0.144 eV/f.u. Its uncorrected formation energy is -0.35 eV/f.u.

abc: 4.039 4.039 5.971
angles: 90.00 90.00 90.00
Space group P4mm (No. 99)
Symmetry-distinct sites (fractional):
1 Zn 0.000 0.000 0.000
2 Te 0.500 0.500 0.459
3 Se 0.000 0.000 0.451
4 Se 0.500 0.500 0.960



Computed, not measured: crystalline SnAsCl2 at its relaxed geometry at the PBE level of DFT.

Output
Its offset from the most stable computed form is 1.408 eV/f.u. Its uncorrected formation energy is 0.45 eV/f.u.

abc: 7.269 7.269 7.269
angles: 90.00 90.00 90.00
Space group Fm-3m (No. 225)
Symmetry-distinct sites (fractional):
1 Sn 0.000 0.000 0.000
2 As 0.000 0.000 0.500
3 Cl 0.250 0.250 0.250



Computed, not measured: crystalline CdHg2P at its relaxed geometry at the PBE level of DFT.

Output
Its offset from the most stable computed form is 0.891 eV/f.u. As for the formation energy: 299 meV/atom.

abc: 4.178 5.722 7.835
angles: 90.00 90.00 90.00
Space group Imm2 (No. 44)
Symmetry-distinct sites (fractional):
1 Cd 0.000 0.000 0.000
2 Hg 0.000 0.000 0.545
3 Hg 0.000 0.500 0.770
4 P 0.000 0.500 0.285



Computed, not measured: crystalline YTcGeS2 at its relaxed geometry at the PBE level of DFT.

Output
Its uncorrected formation energy is 3.66 eV/f.u.

abc: 5.101 5.101 5.657
angles: 90.00 90.00 90.00
Space group P4/mmm (No. 123)
Symmetry-distinct sites (fractional):
1 Y 0.000 0.000 0.000
2 Tc 0.000 0.000 0.500
3 Ge 0.500 0.500 0.500
4 S 0.000 0.500 0.000



Computed, not measured: crystalline Cs2VBr3Cl at its relaxed geometry at the PBE level of DFT.

Output
Its uncorrected formation energy is -9.95 eV/f.u.

abc: 5.147 5.403 17.902
angles: 90.00 90.00 90.00
Space group Immm (No. 71)
Symmetry-distinct sites (fractional):
1 Cs 0.000 0.000 0.142
2 V 0.000 0.000 0.500
3 Br 0.000 0.000 0.351
4 Br 0.000 0.500 0.500
5 Cl 0.000 0.500 0.000



Computed, not measured: crystalline Pu2Nb2Ru3 at its relaxed geometry at the PBE level of DFT.

Output
As for the formation energy: 50 meV/atom.

abc: 4.298 3.057 10.385
angles: 90.00 98.73 90.00
Space group P2/m (No. 10)
Symmetry-distinct sites (fractional):
1 Pu 0.104 0.000 0.141
2 Nb 0.296 0.000 0.626
3 Ru 0.214 0.500 0.400
4 Ru 0.500 0.500 0.000



Computed, not measured: crystalline LiDyScFe at its relaxed geometry at the PBE level of DFT.

Output
As for the formation energy: 55 meV/atom.

abc: 6.639 6.639 6.639
angles: 90.00 90.00 90.00
Space group F-43m (No. 216)
Symmetry-distinct sites (fractional):
1 Li 0.000 0.000 0.000
2 Dy 0.250 0.250 0.750
3 Sc 0.250 0.250 0.250
4 Fe 0.000 0.000 0.500



Computed, not measured: crystalline TiRuPb2 at its relaxed geometry at the PBE level of DFT.

Output
Its offset from the most stable computed form is 0.000 eV/f.u. As for the formation energy: 356 meV/atom.

abc: 6.826 6.826 6.826
angles: 90.00 90.00 90.00
Space group Fm-3m (No. 225)
Symmetry-distinct sites (fractional):
1 Ti 0.000 0.000 0.000
2 Ru 0.000 0.000 0.500
3 Pb 0.250 0.250 0.250



Computed, not measured: crystalline LiZr2Ti2 at its relaxed geometry at the PBE level of DFT.

Output
Its offset from the most stable computed form is 0.480 eV/f.u. As for the formation energy: 353 meV/atom.

abc: 7.481 7.481 3.655
angles: 90.00 90.00 90.00
Space group P4/mbm (No. 127)
Symmetry-distinct sites (fractional):
1 Li 0.000 0.000 0.000
2 Zr 0.145 0.355 0.000
3 Ti 0.145 0.645 0.500



Computed, not measured: crystalline K5Cu3P3 at its relaxed geometry at the PBE level of DFT.

Output
As for the formation energy: -221 meV/atom.

abc: 10.0441 10.0441 4.2712
angles: 90.00 90.00 120.00
Space group P-62m (No. 189)
Symmetry-distinct sites (fractional):
1 K 0.0000 0.7338 0.0000
2 K 0.3333 0.6667 0.0000
3 Cu 0.0000 0.3477 0.5000
4 P 0.0000 0.3704 0.0000



Computed, not measured: crystalline HgP2CS at its relaxed geometry at the PBE level of DFT.

Output
Its offset from the most stable computed form is 0.000 eV/f.u. Its uncorrected formation energy is 6.20 eV/f.u.

abc: 4.230 4.230 4.267
angles: 90.00 90.00 90.00
Space group P4/mmm (No. 123)
Symmetry-distinct sites (fractional):
1 Hg 0.000 0.000 0.000
2 P 0.000 0.500 0.500
3 C 0.500 0.500 0.500
4 S 0.500 0.500 0.000



| no. | spin magnetization (μB per formula unit) |
| --- | --- |
| 1 | 0.6 |
| 2 | 0.0 |
| 3 | 2.0 |
| 4 | 0.0 |
| 5 | 0.0 |
| 6 | 0.0 |
| 7 | 0.0 |
| 8 | 2.2 |
| 9 | 0.0 |
| 10 | 3.8 |
| 11 | 3.0 |
| 12 | 10.1 |
| 13 | 0.0 |
| 14 | 0.0 |
| 15 | 0.0 |
| 16 | 0.0 |
| 17 | 0.0 |